one | Entry from Alexandria via LeMat-Bulk: an optimized crystal structure of Sm2DyS4 (GGA-PBE).

Lattice parameters (Å, degrees): 6.902 6.902 13.312 90.00 90.00 147.63
Sites, in units of the cell vectors:
1 Sm 0.129 0.871 0.571
2 Sm 0.129 0.871 0.929
3 Sm 0.871 0.129 0.071
4 Sm 0.871 0.129 0.429
5 Dy 0.373 0.627 0.750
6 Dy 0.627 0.373 0.250
7 S 0.021 0.979 0.750
8 S 0.221 0.779 0.125
9 S 0.221 0.779 0.375
10 S 0.500 0.500 0.000
11 S 0.500 0.500 0.500
12 S 0.779 0.221 0.625
13 S 0.779 0.221 0.875
14 S 0.979 0.021 0.250

two | Entry from Alexandria via LeMat-Bulk: an optimized crystal structure of Sm2DyS4 (GGA-PBE).

Lattice parameters (Å, degrees): 7.915 7.915 7.915 119.76 119.11 90.98
Sites, in units of the cell vectors:
1 Sm 0.000 0.000 0.000
2 Sm 0.500 0.000 0.000
3 Sm 0.500 0.000 0.500
4 Sm 0.500 0.500 0.500
5 Dy 0.000 0.000 0.500
6 Dy 0.000 0.500 0.000
7 S 0.241 0.747 0.495
8 S 0.247 0.241 0.494
9 S 0.247 0.753 0.006
10 S 0.248 0.253 0.995
11 S 0.752 0.747 0.005
12 S 0.753 0.247 0.994
13 S 0.753 0.759 0.506
14 S 0.759 0.253 0.505

The winner here is two, beating the second structure by 1.4 kJ/mol of atoms.

one | Entry from Alexandria via LeMat-Bulk: an optimized crystal structure of Dy2SnS5 (GGA-PBE).

Lattice parameters (Å, degrees): 7.155 7.155 12.860 90.00 90.00 137.07
Sites, in units of the cell vectors:
1 Dy 0.151 0.849 0.567
2 Dy 0.151 0.849 0.933
3 Dy 0.849 0.151 0.067
4 Dy 0.849 0.151 0.433
5 Sn 0.174 0.826 0.250
6 Sn 0.826 0.174 0.750
7 S 0.045 0.955 0.110
8 S 0.045 0.955 0.390
9 S 0.270 0.730 0.750
10 S 0.301 0.699 0.091
11 S 0.301 0.699 0.409
12 S 0.699 0.301 0.591
13 S 0.699 0.301 0.909
14 S 0.730 0.270 0.250
15 S 0.955 0.045 0.610
16 S 0.955 0.045 0.890

two | Entry from Alexandria via LeMat-Bulk: an optimized crystal structure of Dy2SnS5 (GGA-PBE).

Lattice parameters (Å, degrees): 7.750 11.387 3.812 90.00 90.00 90.00
Sites, in units of the cell vectors:
1 Dy 0.025 0.173 0.000
2 Dy 0.475 0.673 0.000
3 Dy 0.525 0.327 0.000
4 Dy 0.975 0.827 0.000
5 Sn 0.000 0.500 0.500
6 Sn 0.500 0.000 0.500
7 S 0.000 0.000 0.500
8 S 0.168 0.400 0.000
9 S 0.179 0.695 0.500
10 S 0.321 0.195 0.500
11 S 0.332 0.900 0.000
12 S 0.500 0.500 0.500
13 S 0.668 0.100 0.000
14 S 0.679 0.805 0.500
15 S 0.821 0.305 0.500
16 S 0.832 0.600 0.000

The winner here is two, beating the second structure by 7.9 kJ/mol of atoms.

one | Entry from Alexandria via LeMat-Bulk: an optimized crystal structure of Dy2SnS (GGA-PBE).

Lattice parameters (Å, degrees): 3.870 3.870 22.963 90.00 90.00 120.00
Sites, in units of the cell vectors:
1 Dy 0.000 0.000 0.236
2 Dy 0.000 0.000 0.764
3 Dy 0.333 0.667 0.431
4 Dy 0.333 0.667 0.902
5 Dy 0.667 0.333 0.098
6 Dy 0.667 0.333 0.569
7 Sn 0.000 0.000 0.000
8 Sn 0.333 0.667 0.667
9 Sn 0.667 0.333 0.333
10 S 0.000 0.000 0.500
11 S 0.333 0.667 0.167
12 S 0.667 0.333 0.833

two | Entry from Alexandria via LeMat-Bulk: an optimized crystal structure of Dy2SnS (GGA-PBE).

Lattice parameters (Å, degrees): 3.778 3.778 24.038 90.00 90.00 120.00
Sites, in units of the cell vectors:
1 Dy 0.000 0.000 0.000
2 Dy 0.000 0.000 0.199
3 Dy 0.333 0.667 0.667
4 Dy 0.333 0.667 0.865
5 Dy 0.667 0.333 0.333
6 Dy 0.667 0.333 0.532
7 Sn 0.000 0.000 0.432
8 Sn 0.333 0.667 0.099
9 Sn 0.667 0.333 0.765
10 S 0.000 0.000 0.600
11 S 0.333 0.667 0.267
12 S 0.667 0.333 0.933

The winner here is one, beating the second structure by 0.9 kJ/mol of atoms.

one | Entry from Alexandria via LeMat-Bulk: an optimized crystal structure of TbDyS2 (GGA-PBE).

Lattice parameters (Å, degrees): 6.780 3.929 6.769 90.00 109.68 90.00
Sites, in units of the cell vectors:
1 Tb 0.000 0.000 0.000
2 Tb 0.500 0.500 0.000
3 Dy 0.000 0.500 0.500
4 Dy 0.500 0.000 0.500
5 S 0.249 0.000 0.748
6 S 0.251 0.500 0.252
7 S 0.749 0.500 0.748
8 S 0.751 0.000 0.252

two | Entry from Alexandria via LeMat-Bulk: an optimized crystal structure of TbDyS2 (GGA-PBE).

Lattice parameters (Å, degrees): 3.837 3.837 20.310 90.00 90.00 120.00
Sites, in units of the cell vectors:
1 Tb 0.000 0.000 0.000
2 Tb 0.333 0.667 0.667
3 Tb 0.667 0.333 0.333
4 Dy 0.000 0.000 0.178
5 Dy 0.333 0.667 0.845
6 Dy 0.667 0.333 0.512
7 S 0.000 0.000 0.587
8 S 0.000 0.000 0.758
9 S 0.333 0.667 0.254
10 S 0.333 0.667 0.424
11 S 0.667 0.333 0.091
12 S 0.667 0.333 0.920

The winner here is one, beating the second structure by 3.1 kJ/mol of atoms.

one | Entry from Alexandria via LeMat-Bulk: an optimized crystal structure of TbDyS3 (GGA-PBE).

Lattice parameters (Å, degrees): 8.224 8.224 8.351 116.75 116.75 28.98
Sites, in units of the cell vectors:
1 Tb 0.130 0.130 0.291
2 Tb 0.870 0.870 0.709
3 Dy 0.352 0.352 0.239
4 Dy 0.648 0.648 0.761
5 S 0.144 0.144 0.974
6 S 0.234 0.234 0.657
7 S 0.455 0.455 0.637
8 S 0.545 0.545 0.363
9 S 0.766 0.766 0.343
10 S 0.856 0.856 0.026

two | Entry from Alexandria via LeMat-Bulk: an optimized crystal structure of TbDyS3 (GGA-PBE).

Lattice parameters (Å, degrees): 7.749 3.894 7.777 90.00 94.27 90.00
Sites, in units of the cell vectors:
1 Tb 0.232 0.250 0.382
2 Tb 0.768 0.750 0.618
3 Dy 0.317 0.250 0.855
4 Dy 0.683 0.750 0.145
5 S 0.017 0.250 0.677
6 S 0.321 0.750 0.105
7 S 0.386 0.750 0.622
8 S 0.614 0.250 0.378
9 S 0.679 0.250 0.895
10 S 0.983 0.750 0.323

The winner here is two, beating the second structure by 1.5 kJ/mol of atoms.

one | Entry from Alexandria via LeMat-Bulk: an optimized crystal structure of Dy3Te2S (GGA-PBE).

Lattice parameters (Å, degrees): 7.244 7.244 7.376 99.41 99.41 119.99
Sites, in units of the cell vectors:
1 Dy 0.066 0.427 0.785
2 Dy 0.207 0.207 0.207
3 Dy 0.427 0.066 0.785
4 Dy 0.573 0.934 0.215
5 Dy 0.793 0.793 0.793
6 Dy 0.934 0.573 0.215
7 Te 0.000 0.000 0.500
8 Te 0.343 0.657 0.500
9 Te 0.500 0.500 0.000
10 Te 0.657 0.343 0.500
11 S 0.169 0.831 0.000
12 S 0.831 0.169 0.000

two | Entry from Alexandria via LeMat-Bulk: an optimized crystal structure of Dy3Te2S (GGA-PBE).

Lattice parameters (Å, degrees): 7.345 7.345 7.135 99.89 99.89 118.91
Sites, in units of the cell vectors:
1 Dy 0.000 0.500 0.000
2 Dy 0.124 0.264 0.484
3 Dy 0.264 0.124 0.984
4 Dy 0.500 0.000 0.500
5 Dy 0.736 0.876 0.016
6 Dy 0.876 0.736 0.516
7 Te 0.268 0.732 0.750
8 Te 0.424 0.576 0.250
9 Te 0.576 0.424 0.750
10 Te 0.732 0.268 0.250
11 S 0.097 0.903 0.250
12 S 0.903 0.097 0.750

The winner here is one, beating the second structure by 2.6 kJ/mol of atoms.

one | Entry from Alexandria via LeMat-Bulk: an optimized crystal structure of DyTeS (GGA-PBE).

Lattice parameters (Å, degrees): 3.689 3.576 12.867 90.00 90.00 90.00
Sites, in units of the cell vectors:
1 Dy 0.000 0.000 0.000
2 Dy 0.000 0.500 0.500
3 Te 0.000 0.000 0.295
4 Te 0.000 0.500 0.795
5 S 0.500 0.000 0.564
6 S 0.500 0.500 0.064

two | Entry from Alexandria via LeMat-Bulk: an optimized crystal structure of DyTeS (GGA-PBE).

Lattice parameters (Å, degrees): 5.728 5.728 11.159 90.00 90.00 90.00
Sites, in units of the cell vectors:
1 Dy 0.000 0.000 0.000
2 Dy 0.000 0.500 0.250
3 Dy 0.500 0.000 0.750
4 Dy 0.500 0.500 0.500
5 Te 0.000 0.000 0.302
6 Te 0.000 0.500 0.552
7 Te 0.500 0.000 0.052
8 Te 0.500 0.500 0.802
9 S 0.000 0.000 0.768
10 S 0.000 0.500 0.018
11 S 0.500 0.000 0.518
12 S 0.500 0.500 0.268

The winner here is one, beating the second structure by 25.6 kJ/mol of atoms.

one | Entry from Alexandria via LeMat-Bulk: an optimized crystal structure of Dy2TeS (GGA-PBE).

Lattice parameters (Å, degrees): 4.013 4.013 21.378 90.00 90.00 120.00
Sites, in units of the cell vectors:
1 Dy 0.000 0.000 0.000
2 Dy 0.000 0.000 0.195
3 Dy 0.333 0.667 0.667
4 Dy 0.333 0.667 0.862
5 Dy 0.667 0.333 0.333
6 Dy 0.667 0.333 0.528
7 Te 0.000 0.000 0.765
8 Te 0.333 0.667 0.431
9 Te 0.667 0.333 0.098
10 S 0.000 0.000 0.595
11 S 0.333 0.667 0.262
12 S 0.667 0.333 0.929

two | Entry from Alexandria via LeMat-Bulk: an optimized crystal structure of Dy2TeS (GGA-PBE).

Lattice parameters (Å, degrees): 4.085 4.085 20.746 90.00 90.00 120.00
Sites, in units of the cell vectors:
1 Dy 0.000 0.000 0.234
2 Dy 0.000 0.000 0.766
3 Dy 0.333 0.667 0.433
4 Dy 0.333 0.667 0.901
5 Dy 0.667 0.333 0.099
6 Dy 0.667 0.333 0.567
7 Te 0.000 0.000 0.000
8 Te 0.333 0.667 0.667
9 Te 0.667 0.333 0.333
10 S 0.000 0.000 0.500
11 S 0.333 0.667 0.167
12 S 0.667 0.333 0.833

three | Entry from Alexandria via LeMat-Bulk: an optimized crystal structure of Dy2TeS (GGA-PBE).

Lattice parameters (Å, degrees): 5.732 6.282 11.459 90.00 90.00 90.00
Sites, in units of the cell vectors:
1 Dy 0.000 0.187 0.136
2 Dy 0.000 0.194 0.608
3 Dy 0.000 0.806 0.392
4 Dy 0.000 0.813 0.864
5 Dy 0.500 0.187 0.364
6 Dy 0.500 0.194 0.892
7 Dy 0.500 0.806 0.108
8 Dy 0.500 0.813 0.636
9 Te 0.000 0.308 0.872
10 Te 0.000 0.692 0.128
11 Te 0.500 0.308 0.628
12 Te 0.500 0.692 0.372
13 S 0.000 0.242 0.372
14 S 0.000 0.758 0.628
15 S 0.500 0.242 0.128
16 S 0.500 0.758 0.872

The winner here is one, beating the second structure by 2.3 kJ/mol of atoms.